DFT (GGA+U) results for a relaxed structure of MgMn2WO6.

```
MgMn2WO6
1.0
5.169 0.000 0.000
2.537 4.683 0.000
0.085 2.972 4.772
Mg Mn W O
1 2 1 6
direct
0.000 0.000 0.000
0.281 0.448 0.838
0.790 0.428 0.378
0.487 0.028 0.461
0.093 0.514 0.196
0.240 0.922 0.695
0.385 0.929 0.187
0.617 0.204 0.668
0.701 0.217 0.194
0.861 0.562 0.648
```

Output
Space-group type: P1, No. 1
Total magnetization, μB per atom: 1.000
E, eV/atom: -7.337